(1)
A crystal of Al2P3H3O9 relaxed with PBEsol. Source: the Alexandria database, functional SCAN.

Properties
D(E_F)   0.00 states/eV/cell
Total DFT energy (no corrections)   -8.95 eV/atom
Size of the total moment   0.00 Bohr magnetons per cell

Geometry as CIF:
```
data_Al2P3H3O9
_symmetry_space_group_name_H-M 'P 1'
_symmetry_Int_Tables_number 1
_cell_length_a 7.124
_cell_length_b 7.868
_cell_length_c 7.868
_cell_angle_alpha 120.00
_cell_angle_beta 90.00
_cell_angle_gamma 90.00
loop_
_symmetry_equiv_pos_as_xyz
'x,y,z'
loop_
_atom_site_label
_atom_site_type_symbol
_atom_site_fract_x
_atom_site_fract_y
_atom_site_fract_z
H1 H 0.750 0.157 0.174
O1 O 0.750 0.482 0.864
O2 O 0.750 0.382 0.518
O3 O 0.930 0.724 0.167
O4 O 0.250 0.864 0.382
O5 O 0.570 0.442 0.276
O6 O 0.930 0.442 0.276
Al1 Al 0.556 0.333 0.667
O7 O 0.070 0.167 0.442
H2 H 0.250 0.984 0.157
O8 O 0.250 0.518 0.136
O9 O 0.930 0.833 0.558
H3 H 0.750 0.016 0.843
P1 P 0.750 0.690 0.050
O10 O 0.430 0.276 0.833
O11 O 0.070 0.558 0.724
O12 O 0.750 0.136 0.618
O13 O 0.250 0.618 0.482
P2 P 0.250 0.640 0.690
P3 P 0.250 0.050 0.360
P4 P 0.750 0.360 0.310
O14 O 0.430 0.167 0.442
Al2 Al 0.056 0.667 0.333
Al3 Al 0.444 0.667 0.333
O15 O 0.570 0.724 0.167
H4 H 0.250 0.843 0.826
P5 P 0.750 0.950 0.640
H5 H 0.750 0.826 0.984
Al4 Al 0.944 0.333 0.667
O16 O 0.430 0.558 0.724
O17 O 0.570 0.833 0.558
P6 P 0.250 0.310 0.950
H6 H 0.250 0.174 0.016
O18 O 0.070 0.276 0.833
```

(2)
A crystal of RbCaHg3 relaxed with PBEsol. Source: the Alexandria database, functional SCAN.

Properties
Formation energy   -0.166 eV per atom
D(E_F)   3.20 states/eV/cell
Total DFT energy (no corrections)   -47.15 eV/atom
Size of the total moment   0.00 Bohr magnetons per cell

Geometry as CIF:
```
data_RbCaHg3
_symmetry_space_group_name_H-M 'P 1'
_symmetry_Int_Tables_number 1
_cell_length_a 5.836
_cell_length_b 5.836
_cell_length_c 5.836
_cell_angle_alpha 90.00
_cell_angle_beta 90.00
_cell_angle_gamma 90.00
loop_
_symmetry_equiv_pos_as_xyz
'x,y,z'
loop_
_atom_site_label
_atom_site_type_symbol
_atom_site_fract_x
_atom_site_fract_y
_atom_site_fract_z
Hg1 Hg 0.500 0.000 0.000
Rb1 Rb 0.500 0.500 0.500
Hg2 Hg 0.000 0.000 0.500
Ca1 Ca 0.000 0.000 0.000
Hg3 Hg 0.000 0.500 0.000
```

(3)
A crystal of MnCoMo3 relaxed with PBEsol. Source: the Alexandria database, functional SCAN.

Properties
Formation energy   1.190 eV per atom
D(E_F)   5.45 states/eV/cell
Total DFT energy (no corrections)   -26.85 eV/atom
Size of the total moment   3.65 Bohr magnetons per cell

Geometry as CIF:
```
data_MnCoMo3
_symmetry_space_group_name_H-M 'P 1'
_symmetry_Int_Tables_number 1
_cell_length_a 4.385
_cell_length_b 4.385
_cell_length_c 4.385
_cell_angle_alpha 90.00
_cell_angle_beta 90.00
_cell_angle_gamma 90.00
loop_
_symmetry_equiv_pos_as_xyz
'x,y,z'
loop_
_atom_site_label
_atom_site_type_symbol
_atom_site_fract_x
_atom_site_fract_y
_atom_site_fract_z
Mo1 Mo 0.000 0.500 0.000
Co1 Co 0.000 0.000 0.000
Mo2 Mo 0.000 0.000 0.500
Mo3 Mo 0.500 0.000 0.000
Mn1 Mn 0.500 0.500 0.500
```